[1]
## Dy5Tm3Th3 (PBE-GGA)

Data for a relaxed structure of Dy5Tm3Th3.

Structure (POSCAR):
```
Dy5Tm3Th3
1.0
3.410 0.000 0.000
0.000 11.126 0.000
0.000 -5.563 9.635
Dy Tm Th
5 3 3
Direct
0.500 0.333 0.667
0.500 0.667 0.333
0.500 0.161 0.161
0.500 0.000 0.839
0.500 0.839 0.000
0.000 0.408 0.408
0.000 0.592 0.000
0.000 0.000 0.592
0.500 0.661 0.661
0.500 0.000 0.339
0.500 0.339 0.000
```

magnetic moment	0.00	μB/cell
calculated volume	33.24	Å³ per atom
energy relative to the elements	388	meV/atom

[2]
## Dy3Tm8Th2 (PBE-GGA)

Data for a relaxed structure of Dy3Tm8Th2.

Structure (POSCAR):
```
Dy3Tm8Th2
1.0
13.147 0.805 0.001
-5.699 3.285 0.005
0.000 -0.024 17.221
Dy Tm Th
6 16 4
Direct
0.594 0.792 0.254
0.500 0.000 0.500
0.906 0.208 0.754
0.094 0.792 0.246
0.000 0.000 0.000
0.406 0.208 0.746
0.629 0.629 0.081
0.651 0.713 0.427
0.041 0.934 0.761
0.681 0.504 0.885
0.459 0.066 0.261
0.819 0.496 0.385
0.129 0.629 0.419
0.849 0.287 0.927
0.151 0.713 0.073
0.871 0.371 0.581
0.959 0.066 0.239
0.541 0.934 0.739
0.319 0.496 0.115
0.181 0.504 0.615
0.349 0.287 0.573
0.371 0.371 0.919
0.742 0.328 0.109
0.758 0.672 0.609
0.242 0.328 0.391
0.258 0.672 0.891
```

magnetic moment	0.00	μB/cell
calculated volume	31.64	Å³ per atom
energy relative to the elements	171	meV/atom

[3]
## Dy2Tm5Th2 (PBE-GGA)

Data for a relaxed structure of Dy2Tm5Th2.

Structure (POSCAR):
```
Dy2Tm5Th2
1.0
11.778 0.000 0.000
0.000 6.564 0.000
-5.889 -3.282 7.378
Dy Tm Th
4 10 4
Direct
0.126 0.676 0.252
0.874 0.424 0.748
0.626 0.176 0.252
0.374 0.924 0.748
0.203 0.657 0.893
0.797 0.763 0.107
0.191 0.157 0.893
0.809 0.263 0.107
0.370 0.049 0.285
0.630 0.764 0.715
0.414 0.549 0.285
0.586 0.264 0.715
0.015 0.651 0.500
0.985 0.151 0.500
0.000 0.015 0.000
0.500 0.515 0.000
0.252 0.337 0.500
0.748 0.837 0.500
```

magnetic moment	0.00	μB/cell
calculated volume	31.69	Å³ per atom
energy relative to the elements	244	meV/atom

[4]
## Dy12Tm5Th3 (PBE-GGA)

Data for a relaxed structure of Dy12Tm5Th3.

Structure (POSCAR):
```
Dy12Tm5Th3
1.0
16.346 0.000 0.000
-5.449 15.411 0.000
-5.449 -7.706 13.346
Th Tm Dy
12 20 48
Direct
0.750 0.375 0.125
0.875 0.750 0.125
0.375 0.750 0.625
0.250 0.125 0.375
0.875 0.125 0.250
0.375 0.625 0.250
0.625 0.375 0.750
0.125 0.875 0.750
0.750 0.875 0.625
0.625 0.250 0.375
0.125 0.250 0.875
0.250 0.625 0.875
0.125 0.375 0.250
0.000 0.500 0.000
0.000 0.000 0.000
0.375 0.250 0.125
0.500 0.000 0.500
0.500 0.500 0.000
0.125 0.750 0.375
0.750 0.125 0.875
0.750 0.625 0.375
0.375 0.125 0.750
0.625 0.875 0.250
0.500 0.500 0.500
0.500 0.000 0.000
0.000 0.000 0.500
0.250 0.375 0.625
0.250 0.875 0.125
0.000 0.500 0.500
0.875 0.250 0.625
0.625 0.750 0.875
0.875 0.625 0.750
0.726 0.144 0.074
0.348 0.574 0.430
0.926 0.356 0.274
0.574 0.226 0.144
0.582 0.726 0.652
0.926 0.570 0.152
0.348 0.774 0.418
0.070 0.918 0.144
0.570 0.926 0.652
0.726 0.582 0.152
0.774 0.426 0.356
0.848 0.930 0.074
0.144 0.726 0.574
0.356 0.430 0.082
0.082 0.930 0.356
0.418 0.144 0.570
0.082 0.152 0.226
0.426 0.652 0.070
0.848 0.918 0.274
0.144 0.418 0.070
0.356 0.926 0.774
0.570 0.644 0.418
0.930 0.848 0.574
0.774 0.348 0.918
0.430 0.356 0.582
0.070 0.152 0.426
0.226 0.652 0.082
0.152 0.082 0.726
0.644 0.074 0.226
0.856 0.582 0.930
0.574 0.348 0.930
0.582 0.856 0.430
0.918 0.848 0.774
0.918 0.070 0.644
0.856 0.274 0.426
0.152 0.070 0.926
0.644 0.570 0.918
0.430 0.074 0.348
0.274 0.418 0.848
0.226 0.574 0.644
0.930 0.082 0.856
0.652 0.226 0.582
0.426 0.774 0.856
0.074 0.430 0.848
0.418 0.274 0.348
0.074 0.644 0.726
0.652 0.426 0.570
0.274 0.856 0.926
```

magnetic moment	0.00	μB/cell
calculated volume	42.03	Å³ per atom
energy relative to the elements	1095	meV/atom

[5]
## DyTmTh2 (PBE-GGA)

Data for a relaxed structure of DyTmTh2.

Structure (POSCAR):
```
DyTmTh2
1.0
-1.490 2.940 -1.315
-2.547 -1.963 -1.502
-5.575 0.887 8.299
Tm Th Dy
1 2 1
Direct
0.500 0.500 0.500
0.000 0.000 0.748
0.000 0.000 0.252
0.500 0.500 0.000
```

magnetic moment	0.00	μB/cell
calculated volume	31.61	Å³ per atom
energy relative to the elements	44	meV/atom

[6]
## Dy2TmTh3 (PBE-GGA)

Data for a relaxed structure of Dy2TmTh3.

Structure (POSCAR):
```
Dy2TmTh3
1.0
6.702 0.000 0.000
0.000 9.778 -5.601
0.000 -2.356 7.222
Dy Tm Th
4 2 6
Direct
0.750 0.437 0.334
0.250 0.563 0.666
0.250 0.897 0.334
0.750 0.103 0.666
0.250 0.229 0.000
0.750 0.771 0.000
0.000 0.166 0.332
0.500 0.834 0.668
0.000 0.500 0.000
0.500 0.500 0.000
0.000 0.834 0.668
0.500 0.166 0.332
```

magnetic moment	0.00	μB/cell
calculated volume	32.07	Å³ per atom
energy relative to the elements	184	meV/atom

[7]
## Dy5Tm2Th (PBE-GGA)

Data for a relaxed structure of Dy5Tm2Th.

Structure (POSCAR):
```
Dy5Tm2Th
1.0
-2.719 -1.011 -4.061
4.263 -5.441 -1.500
-8.258 -8.585 7.667
Dy Tm Th
10 4 2
Direct
0.000 0.000 0.000
0.000 0.500 0.500
0.000 0.496 0.751
0.000 0.504 0.249
0.000 0.004 0.251
0.000 0.996 0.749
0.500 0.252 0.876
0.500 0.748 0.124
0.500 0.248 0.376
0.500 0.752 0.624
0.500 0.243 0.623
0.500 0.757 0.377
0.500 0.257 0.123
0.500 0.743 0.877
0.000 0.000 0.500
0.000 0.500 0.000
```

magnetic moment	0.00	μB/cell
calculated volume	31.26	Å³ per atom
energy relative to the elements	26	meV/atom

[8]
## DyTm2Th3 (PBE-GGA)

Data for a relaxed structure of DyTm2Th3.

Structure (POSCAR):
```
DyTm2Th3
1.0
-4.656 -1.799 -0.558
4.556 -5.728 3.059
-3.794 7.518 7.416
Dy Tm Th
2 4 6
Direct
0.874 0.749 0.874
0.126 0.251 0.126
0.542 0.083 0.873
0.458 0.917 0.127
0.792 0.585 0.126
0.208 0.415 0.874
0.292 0.583 0.625
0.959 0.917 0.625
0.625 0.250 0.625
0.375 0.750 0.375
0.041 0.083 0.375
0.708 0.417 0.375
```

magnetic moment	0.00	μB/cell
calculated volume	31.63	Å³ per atom
energy relative to the elements	33	meV/atom

[9]
## DyTm3Th (PBE-GGA)

Data for a relaxed structure of DyTm3Th.

Structure (POSCAR):
```
DyTm3Th
1.0
-3.035 2.096 3.748
-4.915 -3.889 1.884
3.336 -2.271 11.277
Dy Tm Th
2 6 2
Direct
0.339 0.322 0.500
0.661 0.678 0.500
0.740 0.000 0.264
0.260 0.000 0.736
0.110 0.326 0.229
0.564 0.326 0.771
0.890 0.674 0.771
0.436 0.674 0.229
0.143 0.715 0.000
0.857 0.285 0.000
```

magnetic moment	0.00	μB/cell
calculated volume	33.99	Å³ per atom
energy relative to the elements	401	meV/atom

[10]
## DyTmTh6 (PBE-GGA)

Data for a relaxed structure of DyTmTh6.

Structure (POSCAR):
```
DyTmTh6
1.0
5.607 0.000 2.100
1.445 6.739 4.677
0.168 1.987 8.088
Dy Tm Th
1 1 6
Direct
0.500 0.500 0.500
0.000 0.000 0.000
0.250 0.750 0.750
0.373 0.127 0.127
0.873 0.627 0.627
0.627 0.873 0.873
0.750 0.250 0.250
0.127 0.373 0.373
```

magnetic moment	0.00	μB/cell
calculated volume	32.15	Å³ per atom
energy relative to the elements	127	meV/atom

[11]
## DyTm5Th4 (PBE-GGA)

Data for a relaxed structure of DyTm5Th4.

Structure (POSCAR):
```
DyTm5Th4
1.0
8.522 0.000 0.000
0.000 11.659 0.000
0.000 0.000 6.660
Dy Tm Th
2 10 8
Direct
0.456 0.000 0.000
0.544 0.500 0.500
0.184 0.783 0.759
0.184 0.217 0.759
0.792 0.500 0.000
0.184 0.783 0.241
0.184 0.217 0.241
0.816 0.717 0.259
0.816 0.283 0.259
0.208 0.000 0.500
0.816 0.283 0.741
0.816 0.717 0.741
0.861 0.000 0.748
0.468 0.646 0.000
0.468 0.354 0.000
0.861 0.000 0.252
0.139 0.500 0.248
0.532 0.854 0.500
0.532 0.146 0.500
0.139 0.500 0.752
```

magnetic moment	0.00	μB/cell
calculated volume	33.09	Å³ per atom
energy relative to the elements	394	meV/atom

[12]
## Dy8Tm4Th (PBE-GGA)

Data for a relaxed structure of Dy8Tm4Th.

Structure (POSCAR):
```
Dy8Tm4Th
1.0
-5.900 -3.043 1.718
5.857 -3.564 0.114
3.461 5.969 8.774
Dy Tm Th
8 4 1
Direct
0.598 0.799 0.396
0.402 0.201 0.604
0.500 0.250 0.265
0.985 0.235 0.735
0.500 0.750 0.735
0.985 0.750 0.735
0.015 0.250 0.265
0.015 0.765 0.265
0.000 0.000 0.000
0.000 0.500 0.000
0.500 0.500 0.000
0.500 0.000 0.000
0.000 0.500 0.500
```

magnetic moment	0.00	μB/cell
calculated volume	32.69	Å³ per atom
energy relative to the elements	282	meV/atom

[13]
## DyTm6Th2 (PBE-GGA)

Data for a relaxed structure of DyTm6Th2.

Structure (POSCAR):
```
DyTm6Th2
1.0
6.034 -0.047 -0.046
1.167 9.723 1.363
1.167 1.677 9.674
Dy Tm Th
2 12 4
Direct
0.250 0.133 0.867
0.750 0.867 0.133
0.464 0.679 0.434
0.036 0.566 0.321
0.536 0.321 0.566
0.964 0.434 0.679
0.633 0.100 0.347
0.867 0.653 0.900
0.367 0.900 0.653
0.133 0.347 0.100
0.304 0.764 0.014
0.196 0.986 0.236
0.696 0.236 0.986
0.804 0.014 0.764
0.415 0.538 0.797
0.085 0.203 0.462
0.585 0.462 0.203
0.915 0.797 0.538
```

magnetic moment	0.00	μB/cell
calculated volume	30.81	Å³ per atom
energy relative to the elements	126	meV/atom

[14]
## Dy3TmTh2 (PBE-GGA)

Data for a relaxed structure of Dy3TmTh2.

Structure (POSCAR):
```
Dy3TmTh2
1.0
11.294 0.000 0.000
0.000 6.148 -2.565
0.000 -0.572 6.637
Dy Tm Th
6 2 4
Direct
0.750 0.001 0.999
0.750 0.001 0.499
0.250 0.499 0.001
0.750 0.501 0.999
0.250 0.999 0.501
0.250 0.999 0.001
0.250 0.499 0.501
0.750 0.501 0.499
0.000 0.253 0.253
0.500 0.253 0.253
0.000 0.747 0.747
0.500 0.747 0.747
```

magnetic moment	0.00	μB/cell
calculated volume	37.03	Å³ per atom
energy relative to the elements	555	meV/atom

[15]
## Dy6Tm3Th (PBE-GGA)

Data for a relaxed structure of Dy6Tm3Th.

Structure (POSCAR):
```
Dy6Tm3Th
1.0
-3.057 -7.168 -5.050
9.421 -3.025 -1.408
-7.248 -1.621 6.689
Dy Tm Th
12 6 2
Direct
0.074 0.807 0.687
0.574 0.687 0.807
0.320 0.559 0.933
0.820 0.933 0.559
0.279 0.962 0.038
0.623 0.289 0.711
0.123 0.711 0.289
0.779 0.038 0.962
0.320 0.067 0.441
0.820 0.441 0.067
0.074 0.313 0.193
0.574 0.193 0.313
0.450 0.874 0.625
0.950 0.625 0.874
0.277 0.462 0.538
0.777 0.538 0.462
0.950 0.126 0.375
0.450 0.375 0.126
0.118 0.210 0.790
0.618 0.790 0.210
```

magnetic moment	0.00	μB/cell
calculated volume	31.76	Å³ per atom
energy relative to the elements	133	meV/atom

[16]
## Dy8Tm3Th2 (PBE-GGA)

Data for a relaxed structure of Dy8Tm3Th2.

Structure (POSCAR):
```
Dy8Tm3Th2
1.0
-0.245 -3.668 4.250
1.530 -5.474 -4.636
9.352 4.076 4.059
Dy Tm Th
8 3 2
Direct
0.000 0.665 0.331
0.000 0.335 0.669
0.000 0.138 0.277
0.000 0.862 0.723
0.500 0.610 0.784
0.500 0.174 0.784
0.500 0.826 0.216
0.500 0.390 0.216
0.500 0.000 0.000
0.000 0.272 0.000
0.000 0.728 0.000
0.500 0.245 0.490
0.500 0.755 0.510
```

magnetic moment	0.00	μB/cell
calculated volume	32.82	Å³ per atom
energy relative to the elements	273	meV/atom